*w*
Here is a relaxed GdSBr crystal from the Alexandria database. Energies are from PBE-GGA.

Structure (POSCAR):
```
GdSBr
1.0
6.962 0.000 0.000
0.000 6.874 0.065
0.000 1.173 6.840
Gd S Br
4 4 4
direct
0.964 0.792 0.321
0.036 0.208 0.679
0.464 0.708 0.679
0.536 0.292 0.321
0.741 0.991 0.553
0.259 0.009 0.447
0.241 0.509 0.447
0.759 0.491 0.553
0.628 0.700 0.078
0.372 0.300 0.922
0.128 0.800 0.922
0.872 0.200 0.078
```

Output
* symmetry: P2_1/c, No. 14
* theoretical density: 5.5 g cm⁻³
* volume: 81.7 Å³/f.u.
* crystal system: monoclinic

=====

*x*
Here is a relaxed GdSBr crystal from the Alexandria database. Energies are from PBE-GGA.

Structure (POSCAR):
```
GdSBr
1.0
-1.924 -1.400 -3.390
3.944 1.245 -0.222
2.045 -6.226 1.411
S Gd Br
1 1 1
direct
0.333 0.667 0.543
0.667 0.333 0.365
0.000 0.000 0.092
```

Output
* symmetry: P3m1, No. 156
* theoretical density: 4.5 g cm⁻³
* volume: 99.6 Å³/f.u.
* crystal system: trigonal

=====

*y*
Here is a relaxed GdSBr crystal from the Alexandria database. Energies are from PBE-GGA.

Structure (POSCAR):
```
GdSBr
1.0
-0.866 3.732 -2.939
-4.527 1.027 -1.328
-2.176 3.960 1.703
S Gd Br
1 1 1
direct
0.500 0.500 0.500
0.250 0.250 0.250
0.000 0.000 0.000
```

Output
* symmetry: F-43m, No. 216
* theoretical density: 5.6 g cm⁻³
* volume: 79.6 Å³/f.u.
* crystal system: cubic

=====

List of relative energies, unit meV per atom: *w* 0; *x* 55; *y* 215

=====

*w*
Here is a relaxed Gd2SbBr crystal from the Alexandria database. Energies are from PBE-GGA.

Structure (POSCAR):
```
Gd2SbBr
1.0
-1.445 2.995 -2.930
-3.920 -0.559 -1.991
-4.808 4.233 3.346
Sb Gd Br
1 2 1
direct
0.000 0.000 0.000
0.251 0.251 0.248
0.749 0.749 0.752
0.500 0.500 0.500
```

Output
* symmetry: R-3m, No. 166
* theoretical density: 7.5 g cm⁻³
* volume: 115.0 Å³/f.u.
* crystal system: trigonal

=====

*x*
Here is a relaxed Gd2SbBr crystal from the Alexandria database. Energies are from PBE-GGA.

Structure (POSCAR):
```
Gd2SbBr
1.0
-5.102 1.040 1.155
-3.748 -3.682 -0.921
-2.367 -2.476 4.088
Sb Gd Br
1 2 1
direct
0.000 0.000 0.000
0.250 0.250 0.250
0.750 0.750 0.750
0.500 0.500 0.500
```

Output
* symmetry: Fm-3m, No. 225
* theoretical density: 8.0 g cm⁻³
* volume: 107.3 Å³/f.u.
* crystal system: cubic

=====

List of relative energies, unit meV per atom: *w* 0; *x* 47

=====

*w*
Here is a relaxed TbGd2Br crystal from the Alexandria database. Energies are from PBE-GGA.

Structure (POSCAR):
```
TbGd2Br
1.0
-3.644 0.288 -0.375
-1.869 -2.580 -1.832
-3.157 -6.037 8.034
Gd Tb Br
2 1 1
direct
0.742 0.742 0.773
0.258 0.258 0.227
0.500 0.500 0.500
0.000 0.000 0.000
```

Output
* symmetry: R-3m, No. 166
* theoretical density: 7.6 g cm⁻³
* volume: 120.7 Å³/f.u.
* crystal system: trigonal

=====

*x*
Here is a relaxed TbGd2Br crystal from the Alexandria database. Energies are from PBE-GGA.

Structure (POSCAR):
```
TbGd2Br
1.0
-1.547 2.225 2.305
-2.591 0.637 -2.354
-5.060 -7.253 3.605
Gd Tb Br
2 1 1
direct
0.000 0.000 0.762
0.000 0.000 0.238
0.500 0.500 0.500
0.500 0.500 0.000
```

Output
* symmetry: P4/mmm, No. 123
* theoretical density: 7.6 g cm⁻³
* volume: 120.9 Å³/f.u.
* crystal system: tetragonal

=====

List of relative energies, unit meV per atom: *w* 0; *x* 79

=====

*w*
Here is a relaxed GeBr crystal from the Alexandria database. Energies are from PBE-GGA.

Structure (POSCAR):
```
GeBr
1.0
-4.089 -1.029 -8.185
-7.641 -2.971 4.190
-1.136 3.162 0.170
Ge Br
4 4
direct
0.891 0.109 0.000
0.391 0.391 0.500
0.609 0.609 0.500
0.109 0.891 0.000
0.821 0.821 0.000
0.321 0.679 0.500
0.679 0.321 0.500
0.179 0.179 0.000
```

Output
* symmetry: P4_2/mnm, No. 136
* theoretical density: 3.6 g cm⁻³
* volume: 71.3 Å³/f.u.
* crystal system: tetragonal

=====

*x*
Here is a relaxed GeBr crystal from the Alexandria database. Energies are from PBE-GGA.

Structure (POSCAR):
```
GeBr
1.0
3.501 -0.008 -0.004
-1.768 5.497 -0.010
1.751 -0.561 2.982
Ge Br
1 1
direct
0.976 0.843 0.181
0.828 0.408 0.036
```

Output
* symmetry: P1, No. 1
* theoretical density: 4.4 g cm⁻³
* volume: 57.4 Å³/f.u.
* crystal system: triclinic

=====

*y*
Here is a relaxed GeBr crystal from the Alexandria database. Energies are from PBE-GGA.

Structure (POSCAR):
```
GeBr
1.0
-6.903 0.655 4.228
-2.878 -4.875 -3.944
3.399 -7.428 6.701
Ge Br
8 8
direct
0.213 0.092 0.714
0.713 0.408 0.286
0.787 0.592 0.786
0.287 0.908 0.214
0.433 0.583 0.260
0.933 0.917 0.740
0.567 0.083 0.240
0.067 0.417 0.760
0.703 0.136 0.696
0.203 0.364 0.304
0.297 0.636 0.804
0.797 0.864 0.196
0.380 0.838 0.449
0.880 0.662 0.551
0.620 0.338 0.051
0.120 0.162 0.949
```

Output
* symmetry: P2_12_12_1, No. 19
* theoretical density: 3.4 g cm⁻³
* volume: 74.0 Å³/f.u.
* crystal system: orthorhombic

=====

List of relative energies, unit meV per atom: *w* 301; *x* 283; *y* 0

=====

*w*
Here is a relaxed GeBr crystal from the Alexandria database. Energies are from PBE-GGA.

Structure (POSCAR):
```
GeBr
1.0
-9.637 -7.024 0.467
7.007 -9.495 1.786
-0.245 0.619 4.251
Ge Br
8 8
direct
0.302 0.224 0.000
0.698 0.776 0.000
0.776 0.302 0.000
0.224 0.698 0.000
0.802 0.724 0.500
0.198 0.276 0.500
0.276 0.802 0.500
0.724 0.198 0.500
0.278 0.023 0.000
0.722 0.977 0.000
0.977 0.278 0.000
0.023 0.722 0.000
0.778 0.523 0.500
0.222 0.477 0.500
0.477 0.778 0.500
0.523 0.222 0.500
```

Output
* symmetry: I4/m, No. 87
* theoretical density: 3.3 g cm⁻³
* volume: 76.6 Å³/f.u.
* crystal system: tetragonal

=====

*x*
Here is a relaxed GeBr crystal from the Alexandria database. Energies are from PBE-GGA.

Structure (POSCAR):
```
GeBr
1.0
-2.650 -2.167 -2.423
2.588 -0.809 -2.107
1.496 -6.917 4.493
Ge Br
2 2
direct
0.750 0.750 0.555
0.250 0.250 0.445
0.252 0.750 0.203
0.748 0.250 0.797
```

Output
* symmetry: P2_1/m, No. 11
* theoretical density: 4.2 g cm⁻³
* volume: 60.4 Å³/f.u.
* crystal system: monoclinic

=====

List of relative energies, unit meV per atom: *w* 16; *x* 0

=====

*w*
Here is a relaxed GeBr3 crystal from the Alexandria database. Energies are from PBE-GGA.

Structure (POSCAR):
```
GeBr3
1.0
-0.988 4.741 5.875
-5.407 3.771 -3.953
-2.265 -5.898 4.378
Ge Br
2 6
direct
0.750 0.756 0.244
0.250 0.244 0.756
0.250 0.060 0.940
0.750 0.940 0.060
0.250 0.597 0.906
0.750 0.403 0.094
0.250 0.094 0.403
0.750 0.906 0.597
```

Output
* symmetry: Cmcm, No. 63
* theoretical density: 2.6 g cm⁻³
* volume: 199.5 Å³/f.u.
* crystal system: orthorhombic

=====

*x*
Here is a relaxed GeBr3 crystal from the Alexandria database. Energies are from PBE-GGA.

Structure (POSCAR):
```
GeBr3
1.0
11.394 -7.493 0.986
11.992 -6.292 -1.877
12.824 -4.686 0.717
Ge Br
1 3
direct
0.000 0.000 0.000
0.500 0.500 0.500
0.933 0.933 0.933
0.067 0.067 0.067
```

Output
* symmetry: R-3m, No. 166
* theoretical density: 4.4 g cm⁻³
* volume: 117.3 Å³/f.u.
* crystal system: trigonal

=====

*y*
Here is a relaxed GeBr3 crystal from the Alexandria database. Energies are from PBE-GGA.

Structure (POSCAR):
```
GeBr3
1.0
-11.140 -3.783 0.873
-9.422 -6.293 3.284
-10.508 -2.797 4.574
Ge Br
1 3
direct
0.500 0.500 0.500
0.000 0.000 0.000
0.882 0.882 0.882
0.118 0.118 0.118
```

Output
* symmetry: R-3m, No. 166
* theoretical density: 3.4 g cm⁻³
* volume: 151.1 Å³/f.u.
* crystal system: trigonal

=====

List of relative energies, unit meV per atom: *w* 0; *x* 541; *y* 102